First-principles (GGA-PBEsol) data for an optimized crystal structure of InPt, as listed in Alexandria via LeMat-Bulk.

a b c (Å): 5.277 5.277 5.277
angles (deg): 136.27 136.27 63.56
Positions (direct):
In 0.375 0.625 0.750
In 0.625 0.375 0.250
Pt 0.125 0.875 0.250
Pt 0.875 0.125 0.750

Properties
ΔE_f: -388.6 meV per atom